Model a:
DFT (GGA-PBE) results for a relaxed NbV3Pd crystal.

Cell and atoms, written as POSCAR:
```
NbV3Pd
1.0
4.568 0.000 0.000
0.000 4.568 0.000
0.000 0.000 4.568
Nb Pd V
1 1 3
direct
0.500 0.500 0.500 Nb
0.000 0.000 0.000 Pd
0.000 0.500 0.000 V
0.000 0.000 0.500 V
0.500 0.000 0.000 V
```

Model b:
DFT (GGA-PBE) results for a relaxed NbV3Pd crystal.

Cell and atoms, written as POSCAR:
```
NbV3Pd
1.0
4.578 0.000 0.000
0.000 4.578 0.000
0.000 0.000 4.578
Nb Pd V
1 1 3
direct
0.000 0.000 0.000 Nb
0.500 0.500 0.500 Pd
0.000 0.500 0.000 V
0.000 0.000 0.500 V
0.500 0.000 0.000 V
```

Relative calculated energies, zero for the most stable structure, unit eV/atom: model a 0.000; model b 0.059.